DFT (PBE) results for a relaxed Sc2ZnOs crystal.

abc: 6.5303 6.5303 6.5303
angles: 90.00 90.00 90.00
Space group Fm-3m (No. 225)
One atom of each set of equivalent atoms:
Sc 0.2500 0.2500 0.2500 (multiplicity 8)
Zn 0.0000 0.0000 0.0000 (multiplicity 4)
Os 0.0000 0.0000 0.5000 (multiplicity 4)

Its total energy is -6.73 eV/atom. The calculation puts the formation energy at -0.441 eV/atom.